! DyTmNi2Ge2 | Alexandria | PBE-GGA | optimized geometry; values from VASP
! DOS(E_F): 0.791 states/eV/atom
! raw total energy: -34.48 eV per cell
! mass density: 9.145 g/cm³
! space-group type: No. 164
&SYSTEM
  ibrav = 0, nat = 6, ntyp = 4
/
ATOMIC_SPECIES
Dy 162.50 Dy.upf
Tm 168.93 Tm.upf
Ni 58.69 Ni.upf
Ge 72.64 Ge.upf
CELL_PARAMETERS angstrom
4.204 0.000 0.000
-2.102 3.641 0.000
0.000 0.000 7.048
ATOMIC_POSITIONS crystal
Dy 0.000 0.000 0.000
Tm 0.000 0.000 0.500
Ni 0.333 0.667 0.735
Ni 0.667 0.333 0.265
Ge 0.333 0.667 0.259
Ge 0.667 0.333 0.741

! Th2AlZn3 | Alexandria | PBE-GGA | optimized geometry; values from VASP
! DOS(E_F): 0.857 states/eV/atom
! raw total energy: -48.61 eV per cell
! mass density: 8.547 g/cm³
! space-group type: No. 69
&SYSTEM
  ibrav = 0, nat = 12, ntyp = 3
/
ATOMIC_SPECIES
Th 232.04 Th.upf
Al 26.98 Al.upf
Zn 65.41 Zn.upf
CELL_PARAMETERS angstrom
0.000 4.524 7.822
3.773 0.000 7.822
3.773 4.524 0.000
ATOMIC_POSITIONS crystal
Th 0.243 0.757 0.757
Th 0.250 0.250 0.250
Th 0.750 0.750 0.750
Th 0.757 0.243 0.243
Al 0.335 0.335 0.665
Al 0.665 0.665 0.335
Zn 0.167 0.167 0.833
Zn 0.168 0.665 0.335
Zn 0.335 0.832 0.168
Zn 0.665 0.168 0.832
Zn 0.832 0.335 0.665
Zn 0.833 0.833 0.167

! PmTm2MgRh4 | Alexandria | PBE-GGA | optimized geometry; values from VASP
! DOS(E_F): 0.335 states/eV/atom
! raw total energy: -51.06 eV per cell
! mass density: 10.087 g/cm³
! space-group type: No. 166
&SYSTEM
  ibrav = 0, nat = 8, ntyp = 4
/
ATOMIC_SPECIES
Pm 145.00 Pm.upf
Tm 168.93 Tm.upf
Mg 24.30 Mg.upf
Rh 102.91 Rh.upf
CELL_PARAMETERS angstrom
2.366 1.366 7.797
-2.366 1.366 7.797
0.000 -2.733 7.797
ATOMIC_POSITIONS crystal
Pm 0.000 0.000 0.000
Tm 0.243 0.243 0.243
Tm 0.757 0.757 0.757
Mg 0.500 0.500 0.500
Rh 0.126 0.126 0.126
Rh 0.379 0.379 0.379
Rh 0.621 0.621 0.621
Rh 0.874 0.874 0.874

! In4I5Br | Alexandria | PBE-GGA | optimized geometry; values from VASP
! DOS(E_F): 0.059 states/eV/atom
! raw total energy: -49.94 eV per cell
! mass density: 4.656 g/cm³
! space-group type: No. 59
&SYSTEM
  ibrav = 0, nat = 20, ntyp = 3
/
ATOMIC_SPECIES
In 114.82 In.upf
I 126.90 I.upf
Br 79.90 Br.upf
CELL_PARAMETERS angstrom
11.655 0.000 0.000
0.000 15.934 0.000
0.000 0.000 4.508
ATOMIC_POSITIONS crystal
In 0.002 0.250 0.249
In 0.250 0.048 0.249
In 0.250 0.452 0.249
In 0.498 0.250 0.249
In 0.502 0.750 0.751
In 0.750 0.548 0.751
In 0.750 0.952 0.751
In 0.998 0.750 0.751
I 0.033 0.109 0.749
I 0.033 0.391 0.749
I 0.250 0.750 0.750
I 0.467 0.109 0.749
I 0.467 0.391 0.749
I 0.533 0.609 0.251
I 0.533 0.891 0.251
I 0.750 0.250 0.250
I 0.967 0.609 0.251
I 0.967 0.891 0.251
Br 0.250 0.250 0.249
Br 0.750 0.750 0.751

! CaPuBi4Pb2 | Alexandria | PBE-GGA | optimized geometry; values from VASP
! DOS(E_F): 2.104 states/eV/atom
! raw total energy: -40.53 eV per cell
! mass density: 9.166 g/cm³
! space-group type: No. 42
&SYSTEM
  ibrav = 0, nat = 8, ntyp = 4
/
ATOMIC_SPECIES
Ca 40.08 Ca.upf
Pu 244.00 Pu.upf
Bi 208.98 Bi.upf
Pb 207.20 Pb.upf
CELL_PARAMETERS angstrom
0.000 6.619 4.584
4.581 0.000 4.584
4.581 6.619 0.000
ATOMIC_POSITIONS crystal
Ca 0.000 0.000 0.000
Pu 0.499 0.499 0.501
Bi 0.262 0.749 0.251
Bi 0.500 0.999 0.500
Bi 0.749 0.262 0.738
Bi 0.999 0.500 0.001
Pb 0.256 0.256 0.244
Pb 0.756 0.756 0.744

! TiTlMo | Alexandria | PBE-GGA | optimized geometry; values from VASP
! DOS(E_F): 0.862 states/eV/atom
! raw total energy: -40.87 eV per cell
! mass density: 10.463 g/cm³
! space-group type: No. 65
&SYSTEM
  ibrav = 0, nat = 6, ntyp = 3
/
ATOMIC_SPECIES
Ti 47.87 Ti.upf
Tl 204.38 Tl.upf
Mo 95.94 Mo.upf
CELL_PARAMETERS angstrom
2.401 -4.780 0.000
2.401 4.780 0.000
0.000 0.000 4.815
ATOMIC_POSITIONS crystal
Ti 0.189 0.811 0.000
Ti 0.811 0.189 0.000
Tl 0.000 0.000 0.500
Tl 0.500 0.500 0.000
Mo 0.313 0.687 0.500
Mo 0.687 0.313 0.500

! PmSm3Ho12 | Alexandria | PBE-GGA | optimized geometry; values from VASP
! DOS(E_F): 1.342 states/eV/atom
! raw total energy: -73.52 eV per cell
! mass density: 8.421 g/cm³
! space-group type: No. 123
&SYSTEM
  ibrav = 0, nat = 16, ntyp = 3
/
ATOMIC_SPECIES
Pm 145.00 Pm.upf
Sm 150.36 Sm.upf
Ho 164.93 Ho.upf
CELL_PARAMETERS angstrom
5.025 0.000 0.000
0.000 5.025 0.000
0.000 0.000 20.113
ATOMIC_POSITIONS crystal
Pm 0.000 0.000 0.000
Sm 0.000 0.000 0.250
Sm 0.000 0.000 0.500
Sm 0.000 0.000 0.750
Ho 0.000 0.500 0.125
Ho 0.000 0.500 0.375
Ho 0.000 0.500 0.625
Ho 0.000 0.500 0.875
Ho 0.500 0.000 0.125
Ho 0.500 0.000 0.375
Ho 0.500 0.000 0.625
Ho 0.500 0.000 0.875
Ho 0.500 0.500 0.000
Ho 0.500 0.500 0.250
Ho 0.500 0.500 0.500
Ho 0.500 0.500 0.750

! Ca8AgIr2 | Alexandria | PBE-GGA | optimized geometry; values from VASP
! DOS(E_F): 0.546 states/eV/atom
! raw total energy: -39.49 eV per cell
! mass density: 4.076 g/cm³
! space-group type: No. 8
&SYSTEM
  ibrav = 0, nat = 11, ntyp = 3
/
ATOMIC_SPECIES
Ca 40.08 Ca.upf
Ag 107.87 Ag.upf
Ir 192.22 Ir.upf
CELL_PARAMETERS angstrom
4.487 -6.584 0.000
4.487 6.584 0.000
-1.426 0.000 5.606
ATOMIC_POSITIONS crystal
Ca 0.000 0.000 0.000
Ca 0.045 0.318 0.618
Ca 0.136 0.620 0.205
Ca 0.318 0.045 0.618
Ca 0.441 0.713 0.788
Ca 0.620 0.136 0.205
Ca 0.713 0.441 0.788
Ca 0.762 0.762 0.417
Ag 0.378 0.378 0.291
Ir 0.065 0.696 0.708
Ir 0.696 0.065 0.708